# 1
## CaNiOs2 (PBE)

Data for CaNiOs2 after structural relaxation.

a b c (Å): 9.3226 9.3226 9.3226
angles (deg): 17.35 17.35 17.35
Closest atoms and distances in Å follow each position.
Fractional positions:
Os 0.2584 0.2584 0.2584  9 Os 2.65-2.81
Ca 0.4971 0.4971 0.4971  6 Ca 2.81, 3 Ni 2.90, 3 Os 3.07
Ni 0.7433 0.7433 0.7433  3 Os 2.64, 6 Ni 2.81, 3 Ca 2.90
Os 0.0011 0.0011 0.0011  3 Ni 2.64, 9 Os 2.65-2.81

Output
Its crystal system is trigonal. Its relative energy among the computed polymorphs is 0.293 eV/atom. The formation energy is 0.580 eV per atom. Its total energy is -6.980 eV per atom.



# 2
## CaNi2Os (PBE)

Data for CaNi2Os after structural relaxation.

a b c (Å): 8.9884 8.9884 8.9884
angles (deg): 17.89 17.89 17.89
Closest atoms and distances in Å follow each position.
Fractional positions:
Os 0.2500 0.2500 0.2500  6 Ni 2.58, 6 Os 2.79
Ni 0.9926 0.9926 0.9926  3 Os 2.58, 6 Ni 2.79
Ni 0.5074 0.5074 0.5074  3 Os 2.58, 6 Ni 2.79
Ca 0.7500 0.7500 0.7500  6 Ca 2.79, 6 Ni 2.90

Output
Its crystal system is trigonal. Its relative energy among the computed polymorphs is 0.360 eV/atom. The formation energy is 0.563 eV per atom. Its total energy is -5.636 eV per atom.



# 3
## CaNiOs2 (PBE)

Data for CaNiOs2 after structural relaxation.

a b c (Å): 2.7489 2.7489 8.2653
angles (deg): 90.00 90.00 90.00
Closest atoms and distances in Å follow each position.
Fractional positions:
Ni 0.5000 0.5000 0.7500  8 Os 2.58, 4 Ni 2.75
Os 0.0000 0.0000 0.5455  4 Ni 2.58, 4 Os 2.75
Os 0.0000 0.0000 0.9545  4 Ni 2.58, 4 Os 2.75
Ca 0.5000 0.5000 0.2500  4 Ca 2.75

Output
Its crystal system is tetragonal. Its relative energy among the computed polymorphs is 0.197 eV/atom. The formation energy is 0.484 eV per atom. Its total energy is -7.077 eV per atom.



# 4
## Ca2NiOs (PBE)

Data for Ca2NiOs after structural relaxation.

a b c (Å): 6.1632 6.1632 6.1632
angles (deg): 151.50 132.29 56.51
Closest atoms and distances in Å follow each position.
Fractional positions:
Ni 0.5351 0.5351 0.0000  2 Os 2.43
Os 0.7104 0.2104 0.5000  2 Ni 2.43
Ca 0.2770 0.7770 0.5000  4 Os 3.01, 4 Ca 3.03-3.31, 2 Ni 3.19
Ca 0.9775 0.9775 0.0000  4 Ni 2.98, 4 Ca 3.03-3.31, 2 Os 3.27

Output
Its crystal system is orthorhombic. Its relative energy among the computed polymorphs is 0.142 eV/atom. The formation energy is 0.309 eV per atom. Its total energy is -4.944 eV per atom.



Among the records above, which one has the highest relative energy among the computed polymorphs? CaNi2Os